[1]
PBE Sm2TmZn, relaxed; total DFT energy (no corrections) = -3.778 eV per atom; energy of formation from the pure elements = 18 meV per atom; SG = Fm-3m, No. 225; energy above the lowest structure with this stoichiometry = 0.1753 eV per atom
1.0
-1.576 4.998 -1.206
-4.287 2.132 2.449
0.642 3.960 3.582
Zn Tm Sm
1 1 2
Cartesian
-2.611 5.545 2.412
0.000 0.000 0.000
-1.305 2.772 1.206
-3.916 8.317 3.619

[2]
PBE LiAg2PdAu2, relaxed; total DFT energy (no corrections) = -3.454 eV per atom; energy of formation from the pure elements = -226 meV per atom; SG = Pmc2_1, No. 26
1.0
-0.603 2.420 3.178
-5.450 0.776 -1.625
-2.393 -6.844 4.759
Li Ag Pd Au
2 4 2 4
Cartesian
-2.617 -3.154 4.474
-4.608 -0.667 2.202
-3.389 -5.508 6.120
-2.500 -0.887 0.201
-3.739 1.673 0.585
-6.791 -4.975 2.502
-6.021 -2.737 0.943
-3.294 -3.121 1.753
-4.020 -5.350 3.313
-1.864 -1.047 3.012
-5.193 -0.522 -0.587
-5.331 -2.779 3.674

[3]
PBE Pu4As6Rh5, relaxed; total DFT energy (no corrections) = -8.887 eV per atom; energy of formation from the pure elements = -755 meV per atom; SG = Cmc2_1, No. 36
1.0
4.104 0.000 0.000
-2.052 9.554 0.000
0.000 0.000 14.879
Pu As Rh
8 12 10
Cartesian
2.052 9.051 4.005
0.000 0.503 11.444
0.000 3.206 4.556
2.052 6.348 11.995
2.052 6.081 6.570
0.000 3.473 14.009
0.000 0.157 7.443
2.052 9.397 0.003
2.052 5.191 3.804
0.000 7.977 5.962
2.052 5.362 14.768
0.000 4.192 7.328
0.000 8.254 12.762
2.052 1.300 5.323
0.000 8.154 1.936
2.052 1.400 9.376
0.000 2.259 1.767
2.052 7.295 9.206
2.052 1.577 13.401
0.000 4.363 11.244
0.000 8.528 10.096
2.052 1.027 2.657
0.000 2.793 9.338
2.052 6.761 1.899
2.052 2.784 7.286
0.000 6.770 14.726
0.000 5.790 9.262
2.052 3.764 1.823
0.000 6.568 3.935
2.052 2.986 11.374

[4]
PBE NdCoSe2, relaxed; total DFT energy (no corrections) = -5.070 eV per atom; formation energy from raw total energies = -359 meV per atom; SG = R-3m, No. 166
1.0
3.660 0.000 0.000
1.830 3.169 0.000
1.830 1.056 8.230
Co Nd Se
1 1 2
Cartesian
3.660 2.113 4.115
0.000 0.000 0.000
1.830 1.056 5.303
5.490 3.169 2.926

[5]
PBE FeMo2Br, relaxed; total DFT energy (no corrections) = -7.299 eV per atom; formation energy from raw total energies = 650 meV per atom; SG = C2/m, No. 12; energy above the lowest structure with this stoichiometry = 0.2070 eV per atom
1.0
4.372 -0.244 1.032
3.375 2.790 1.032
1.548 0.509 6.887
Br Fe Mo
1 1 2
Cartesian
6.971 2.291 6.714
2.324 0.764 2.238
0.319 0.105 0.786
4.329 1.422 3.690

[6]
PBE V2GeRu2, relaxed; total DFT energy (no corrections) = -8.645 eV per atom; energy of formation from the pure elements = -363 meV per atom; SG = R-3m, No. 166; energy above the lowest structure with this stoichiometry = 0.0000 eV per atom
1.0
-3.964 -4.430 2.807
0.452 -4.158 0.350
0.228 -1.773 3.797
V Ge Ru
2 1 2
Cartesian
-1.310 -4.144 2.781
-1.975 -6.217 4.173
0.000 0.000 0.000
-2.640 -8.290 5.563
-0.644 -2.071 1.391

[7]
PBE La2TaCu2, relaxed; total DFT energy (no corrections) = -5.753 eV per atom; energy of formation from the pure elements = 227 meV per atom; SG = P4/mbm, No. 127
1.0
-5.692 3.442 2.323
1.532 -1.924 6.603
2.514 3.803 0.525
La Cu Ta
4 4 2
Cartesian
1.234 1.228 5.257
-1.427 2.717 7.215
-2.880 4.094 4.194
-0.219 2.605 2.236
-0.791 -0.393 6.643
-4.018 1.806 6.162
-3.369 1.912 2.283
-0.142 -0.288 2.764
0.000 0.000 0.000
-2.080 0.759 4.463

[8]
PBE Tc2RhF, relaxed; total DFT energy (no corrections) = -7.139 eV per atom; formation energy from raw total energies = 349 meV per atom; SG = I-42d, No. 122; energy above the lowest structure with this stoichiometry = 0.1160 eV per atom
1.0
6.437 0.000 0.000
0.000 6.437 0.000
3.218 3.218 2.663
Rh Tc F
2 4 2
Cartesian
0.000 0.000 0.000
6.437 3.218 1.332
4.558 1.609 0.666
1.879 4.828 0.666
4.828 5.098 1.998
8.046 7.776 1.998
3.218 3.218 0.000
3.218 6.437 1.332

[9]
PBE Mg2Tl8In, relaxed; total DFT energy (no corrections) = -2.165 eV per atom; energy of formation from the pure elements = 95 meV per atom; SG = C2/m, No. 12; energy above the lowest structure with this stoichiometry = 0.0750 eV per atom
1.0
5.337 0.371 0.309
0.722 8.289 0.402
0.722 1.911 8.076
Mg Tl In
2 8 1
Cartesian
2.584 1.447 1.203
4.198 9.124 7.584
4.833 3.130 5.513
1.949 4.579 6.718
5.069 2.774 2.306
1.713 7.797 6.481
4.833 5.992 2.069
1.949 7.441 3.274
2.194 4.077 3.389
4.588 6.494 5.398
0.000 0.000 0.000

[10]
PBE Fe7Pb6, relaxed; total DFT energy (no corrections) = -5.842 eV per atom; energy of formation from the pure elements = 426 meV per atom; SG = R-3m, No. 166
1.0
9.944 -0.074 -0.047
8.437 5.265 -0.045
8.437 2.381 4.694
Pb Fe
6 7
Cartesian
1.506 0.425 0.259
25.312 7.147 4.344
4.429 1.251 0.760
22.389 6.321 3.843
8.817 2.490 1.513
18.001 5.082 3.090
10.887 4.346 2.643
11.552 1.989 2.642
11.552 3.262 0.550
15.931 3.226 1.960
15.266 4.310 4.053
15.266 5.583 1.961
13.409 3.786 2.301

[11]
PBE Nd12Cd6Pb, relaxed; total DFT energy (no corrections) = -3.669 eV per atom; energy of formation from the pure elements = -174 meV per atom; SG = R-3, No. 148
1.0
-7.518 -4.360 -3.212
0.987 -1.279 9.123
-0.175 9.015 -2.131
Nd Cd Pb
12 6 1
Cartesian
-5.460 0.414 2.405
-3.301 2.703 4.191
-4.651 3.633 0.965
-1.246 2.961 1.376
-3.405 0.672 -0.410
-2.055 -0.258 2.815
-5.954 -2.600 4.155
-0.555 -0.730 5.964
-5.470 -1.834 -1.769
-0.753 5.975 -0.375
-6.152 4.106 -2.184
-1.237 5.210 5.550
-3.996 -0.227 5.658
-4.009 -2.489 1.257
0.103 2.217 4.350
-2.711 3.602 -1.878
-2.697 5.865 2.523
-6.809 1.158 -0.570
0.000 0.000 0.000

What is the formula in the eleventh record? Nd12Cd6Pb

Look up the total DFT energy (no corrections) of the second one. -3.454 eV per atom

Which of these has the highest total DFT energy (no corrections)? Mg2Tl8In

Among the records above, which one has the highest total DFT energy (no corrections)? Mg2Tl8In